VASP calculation (PBE) on a relaxed structure of TaMnNbV2.

a b c (Å): 4.5190 4.4556 4.5190
angles (deg): 90.00 90.00 90.00
Sites, in units of the cell vectors:
1 V 0.5000 0.0000 0.0000
2 V 0.0000 0.0000 0.5000
3 Ta 0.5000 0.5000 0.5000
4 Mn 0.0000 0.5000 0.0000
5 Nb 0.0000 0.0000 0.0000

Properties
Its total magnetization is 3.01 μB/f.u. The formation energy comes out at 7.229 eV/f.u. Its space group is No. 123. For the total energy, the calculation gives -42.10 eV for the cell shown.